The following is a DFT calculation (PBE) of crystalline Cs7Rb2Br at its relaxed geometry.

```
Cs7Rb2Br
1.0
11.252 -6.894 0.000
11.252 6.894 0.000
-10.357 0.000 12.853
Cs Rb Br
14 4 2
direct
0.080 0.920 0.750
0.135 0.595 0.199
0.215 0.429 0.497
0.251 0.574 0.874
0.405 0.865 0.301
0.426 0.749 0.626
0.429 0.215 0.997
0.571 0.785 0.003
0.574 0.251 0.374
0.595 0.135 0.699
0.749 0.426 0.126
0.785 0.571 0.503
0.865 0.405 0.801
0.920 0.080 0.250
0.145 0.152 0.605
0.152 0.145 0.105
0.848 0.855 0.895
0.855 0.848 0.395
0.338 0.662 0.750
0.662 0.338 0.250
```

density of states at the Fermi level: 18.851 states/eV per cell
SG: C2/c, No. 15
formation energy from raw total energies: -316 meV/atom
total magnetization: 0.000 μB/f.u.
total DFT energy (no corrections): -25.484 eV/cell